Record 1
Below is a geometry-optimized Nb4Re structure, with properties calculated at the PBE-GGA level.

a b c (Å): 4.5873 4.5873 5.4591
angles (deg): 114.95 114.95 60.08
Element x y z (fractional)
Nb  0.1034  0.1034  0.3096
Nb  0.3036  0.3036  0.9106
Nb  0.6964  0.6964  0.0894
Nb  0.8966  0.8966  0.6904
Re  0.5000  0.5000  0.5000

Calculated values
As for the relative energy among the computed polymorphs: 0.000 eV per atom. The formation energy from the elements comes out at -0.9 eV/f.u.

Record 2
Below is a geometry-optimized NbRe structure, with properties calculated at the PBE-GGA level.

a b c (Å): 2.7726 2.7726 4.5246
angles (deg): 90.00 90.00 109.67
Element x y z (fractional)
Nb  0.0000  0.0000  0.0000
Re  0.5000  0.5000  0.5000

Calculated values
The formation energy from the elements comes out at -0.3 eV/f.u.

Record 3
Below is a geometry-optimized Nb3ReRh structure, with properties calculated at the PBE-GGA level.

a b c (Å): 4.8051 4.8051 4.8051
angles (deg): 90.00 90.00 90.00
Element x y z (fractional)
Nb  0.0000  0.0000  0.5000
Nb  0.0000  0.5000  0.0000
Nb  0.5000  0.0000  0.0000
Re  0.0000  0.0000  0.0000
Rh  0.5000  0.5000  0.5000

Calculated values
As for the relative energy among the computed polymorphs: 0.000 eV per atom. The formation energy from the elements comes out at 6.4 eV/f.u.

Record 4
Below is a geometry-optimized Nb6ReRh structure, with properties calculated at the PBE-GGA level.

a b c (Å): 7.2969 7.2969 7.2969
angles (deg): 143.19 143.19 53.05
Element x y z (fractional)
Nb  0.1222  0.6222  0.5000
Nb  0.2489  0.2489  0.0000
Nb  0.3778  0.8778  0.5000
Nb  0.6222  0.1222  0.5000
Nb  0.7511  0.7511  0.0000
Nb  0.8778  0.3778  0.5000
Re  0.0000  0.0000  0.0000
Rh  0.5000  0.5000  0.0000

Calculated values
The formation energy from the elements comes out at -1.6 eV/f.u.

Record 5
Below is a geometry-optimized NbReRh2 structure, with properties calculated at the PBE-GGA level.

a b c (Å): 3.9280 3.9280 3.9300
angles (deg): 90.00 90.00 90.00
Element x y z (fractional)
Nb  0.0000  0.0000  0.0000
Re  0.5000  0.5000  0.0000
Rh  0.0000  0.5000  0.5000
Rh  0.5000  0.0000  0.5000

Calculated values
As for the relative energy among the computed polymorphs: 0.000 eV per atom. The formation energy from the elements comes out at -1.2 eV/f.u.

Record 6
Below is a geometry-optimized NbReRh2 structure, with properties calculated at the PBE-GGA level.

a b c (Å): 5.8953 5.8953 5.8953
angles (deg): 38.83 38.83 38.83
Element x y z (fractional)
Nb  0.0000  0.0000  0.0000
Re  0.8396  0.8396  0.8396
Rh  0.4073  0.4073  0.4073
Rh  0.5678  0.5678  0.5678

Calculated values
As for the relative energy among the computed polymorphs: 0.757 eV per atom. The formation energy from the elements comes out at 1.8 eV/f.u.

Record 7
Below is a geometry-optimized NbReRh2 structure, with properties calculated at the PBE-GGA level.

a b c (Å): 4.4531 4.4531 4.4531
angles (deg): 60.00 60.00 60.00
Element x y z (fractional)
Nb  0.0000  0.0000  0.0000
Re  0.5000  0.5000  0.5000
Rh  0.2500  0.2500  0.2500
Rh  0.7500  0.7500  0.7500

Calculated values
As for the relative energy among the computed polymorphs: 0.486 eV per atom. The formation energy from the elements comes out at 0.7 eV/f.u.

Record 8
Below is a geometry-optimized NbRe3Rh structure, with properties calculated at the PBE-GGA level.

a b c (Å): 4.6245 4.6245 4.6245
angles (deg): 90.00 90.00 90.00
Element x y z (fractional)
Nb  0.0000  0.0000  0.0000
Re  0.0000  0.5000  0.5000
Re  0.5000  0.0000  0.5000
Re  0.5000  0.5000  0.0000
Rh  0.5000  0.5000  0.5000

Calculated values
As for the relative energy among the computed polymorphs: 0.000 eV per atom. The formation energy from the elements comes out at 10.4 eV/f.u.

Record 9
Below is a geometry-optimized Nb14ReRh structure, with properties calculated at the PBE-GGA level.

a b c (Å): 6.5498 6.5498 6.6009
angles (deg): 90.00 90.00 90.00
Element x y z (fractional)
Nb  0.0000  0.0000  0.0000
Nb  0.0000  0.5000  0.0000
Nb  0.0000  0.5000  0.5000
Nb  0.2481  0.2481  0.2539
Nb  0.2481  0.2481  0.7461
Nb  0.2481  0.7519  0.2539
Nb  0.2481  0.7519  0.7461
Nb  0.5000  0.0000  0.0000
Nb  0.5000  0.0000  0.5000
Nb  0.5000  0.5000  0.0000
Nb  0.7519  0.2481  0.2539
Nb  0.7519  0.2481  0.7461
Nb  0.7519  0.7519  0.2539
Nb  0.7519  0.7519  0.7461
Re  0.0000  0.0000  0.5000
Rh  0.5000  0.5000  0.5000

Calculated values
The formation energy from the elements comes out at -2.4 eV/f.u.

Record 10
Below is a geometry-optimized NbRe3Rh structure, with properties calculated at the PBE-GGA level.

a b c (Å): 4.6751 4.6751 4.6751
angles (deg): 90.00 90.00 90.00
Element x y z (fractional)
Nb  0.0000  0.0000  0.0000
Re  0.0000  0.0000  0.5000
Re  0.0000  0.5000  0.0000
Re  0.5000  0.0000  0.0000
Rh  0.5000  0.5000  0.5000

Calculated values
As for the relative energy among the computed polymorphs: 0.357 eV per atom. The formation energy from the elements comes out at 12.2 eV/f.u.

Record 11
Below is a geometry-optimized NbReRh2 structure, with properties calculated at the PBE-GGA level.

a b c (Å): 5.6569 5.6569 5.6569
angles (deg): 103.25 103.25 122.80
Element x y z (fractional)
Nb  0.0000  0.0000  0.0000
Nb  0.7500  0.2500  0.5000
Re  0.2500  0.7500  0.5000
Re  0.5000  0.5000  0.0000
Rh  0.1399  0.6250  0.0149
Rh  0.3750  0.3899  0.5149
Rh  0.6101  0.1250  0.9851
Rh  0.8750  0.8601  0.4851

Calculated values
As for the relative energy among the computed polymorphs: 0.656 eV per atom. The formation energy from the elements comes out at 1.4 eV/f.u.

Record 12
Below is a geometry-optimized Nb2ReRh9 structure, with properties calculated at the PBE-GGA level.

a b c (Å): 3.8845 3.8845 11.6811
angles (deg): 90.00 90.00 90.00
Element x y z (fractional)
Nb  0.0000  0.0000  0.1648
Nb  0.0000  0.0000  0.8352
Re  0.0000  0.0000  0.5000
Rh  0.0000  0.5000  0.0000
Rh  0.0000  0.5000  0.3391
Rh  0.0000  0.5000  0.6609
Rh  0.5000  0.0000  0.0000
Rh  0.5000  0.0000  0.3391
Rh  0.5000  0.0000  0.6609
Rh  0.5000  0.5000  0.1696
Rh  0.5000  0.5000  0.5000
Rh  0.5000  0.5000  0.8304

Calculated values
The formation energy from the elements comes out at -4.3 eV/f.u.

Record 13
Below is a geometry-optimized NbRe2RhSe structure, with properties calculated at the PBE-GGA level.

a b c (Å): 4.4953 4.4953 4.6664
angles (deg): 90.00 90.00 90.00
Element x y z (fractional)
Nb  0.0000  0.0000  0.0000
Re  0.0000  0.5000  0.5000
Re  0.5000  0.0000  0.5000
Rh  0.5000  0.5000  0.0000
Se  0.0000  0.0000  0.5000

Calculated values
As for the uncorrected formation energy: 7.09 eV per formula unit.

Record 14
Below is a geometry-optimized Sr2NbReRh structure, with properties calculated at the PBE-GGA level.

a b c (Å): 5.9197 5.9197 4.5729
angles (deg): 90.00 90.00 90.00
Element x y z (fractional)
Sr  0.0000  0.5000  0.0000
Sr  0.5000  0.0000  0.0000
Nb  0.0000  0.0000  0.0000
Re  0.0000  0.0000  0.5000
Rh  0.5000  0.5000  0.5000

Calculated values
The formation energy from the elements comes out at 7.6 eV/f.u.

Record 15
Below is a geometry-optimized TaNbReRh structure, with properties calculated at the PBE-GGA level.

a b c (Å): 4.5292 4.5292 4.5292
angles (deg): 60.00 60.00 60.00
Element x y z (fractional)
Ta  0.0000  0.0000  0.0000
Nb  0.5000  0.5000  0.5000
Re  0.7500  0.7500  0.7500
Rh  0.2500  0.2500  0.2500

Calculated values
The formation energy from the elements comes out at -1.1 eV/f.u.

Record 16
Below is a geometry-optimized TiNbReRh structure, with properties calculated at the PBE-GGA level.

a b c (Å): 3.1706 3.1706 6.2719
angles (deg): 90.00 90.00 90.00
Element x y z (fractional)
Ti  0.0000  0.0000  0.0000
Nb  0.0000  0.0000  0.5103
Re  0.5000  0.5000  0.7590
Rh  0.5000  0.5000  0.2422

Calculated values
As for the relative energy among the computed polymorphs: 0.000 eV per atom. The formation energy from the elements comes out at -1.9 eV/f.u.

Record 17
Below is a geometry-optimized TiNbReRh structure, with properties calculated at the PBE-GGA level.

a b c (Å): 4.4712 4.4712 4.4712
angles (deg): 60.00 60.00 60.00
Element x y z (fractional)
Ti  0.0000  0.0000  0.0000
Nb  0.5000  0.5000  0.5000
Re  0.7500  0.7500  0.7500
Rh  0.2500  0.2500  0.2500

Calculated values
As for the relative energy among the computed polymorphs: 0.045 eV per atom. The formation energy from the elements comes out at -1.8 eV/f.u.

Record 18
Below is a geometry-optimized NbVReRh structure, with properties calculated at the PBE-GGA level.

a b c (Å): 4.4287 4.4287 4.4287
angles (deg): 60.00 60.00 60.00
Element x y z (fractional)
Nb  0.0000  0.0000  0.0000
V  0.5000  0.5000  0.5000
Re  0.2500  0.2500  0.2500
Rh  0.7500  0.7500  0.7500

Calculated values
The formation energy from the elements comes out at -0.8 eV/f.u.

Record 19
Below is a geometry-optimized Nb14ReRu structure, with properties calculated at the PBE-GGA level.

a b c (Å): 5.6953 5.6953 9.2700
angles (deg): 90.00 90.00 109.90
Element x y z (fractional)
Nb  0.0000  0.0000  0.0000
Nb  0.0000  0.5000  0.0000
Nb  0.0000  0.5000  0.5000
Nb  0.2491  0.2491  0.2603
Nb  0.2491  0.2491  0.7397
Nb  0.2496  0.7504  0.2522
Nb  0.2496  0.7504  0.7478
Nb  0.5000  0.0000  0.0000
Nb  0.5000  0.0000  0.5000
Nb  0.5000  0.5000  0.0000
Nb  0.7504  0.2496  0.2522
Nb  0.7504  0.2496  0.7478
Nb  0.7509  0.7509  0.2603
Nb  0.7509  0.7509  0.7397
Re  0.0000  0.0000  0.5000
Ru  0.5000  0.5000  0.5000

Calculated values
The formation energy from the elements comes out at -1.9 eV/f.u.

Record 20
Below is a geometry-optimized NbReRu3 structure, with properties calculated at the PBE-GGA level.

a b c (Å): 4.6158 4.6158 4.6158
angles (deg): 90.00 90.00 90.00
Element x y z (fractional)
Nb  0.0000  0.0000  0.0000
Re  0.5000  0.5000  0.5000
Ru  0.0000  0.5000  0.5000
Ru  0.5000  0.0000  0.5000
Ru  0.5000  0.5000  0.0000

Calculated values
As for the relative energy among the computed polymorphs: 0.000 eV per atom. The formation energy from the elements comes out at 7.8 eV/f.u.

Record 21
Below is a geometry-optimized NbRe3Ru structure, with properties calculated at the PBE-GGA level.

a b c (Å): 4.6641 4.6641 4.6641
angles (deg): 90.00 90.00 90.00
Element x y z (fractional)
Nb  0.0000  0.0000  0.0000
Re  0.0000  0.0000  0.5000
Re  0.0000  0.5000  0.0000
Re  0.5000  0.0000  0.0000
Ru  0.5000  0.5000  0.5000

Calculated values
As for the relative energy among the computed polymorphs: 0.630 eV per atom. The formation energy from the elements comes out at 12.9 eV/f.u.

Record 22
Below is a geometry-optimized Nb2ReRu structure, with properties calculated at the PBE-GGA level.

a b c (Å): 5.7755 5.7755 5.7755
angles (deg): 152.08 129.22 58.94
Element x y z (fractional)
Nb  0.2437  0.2437  0.0000
Nb  0.7563  0.7563  0.0000
Re  0.5000  0.5000  0.0000
Ru  0.0000  0.0000  0.0000

Calculated values
The formation energy from the elements comes out at 2.6 eV/f.u.

Record 23
Below is a geometry-optimized Nb2ReRu structure, with properties calculated at the PBE-GGA level.

a b c (Å): 5.7642 5.7642 5.7642
angles (deg): 102.49 102.49 124.57
Element x y z (fractional)
Nb  0.1191  0.6250  0.9941
Nb  0.3750  0.3691  0.4941
Nb  0.6309  0.1250  0.0059
Nb  0.8750  0.8809  0.5059
Re  0.2500  0.7500  0.5000
Re  0.5000  0.5000  0.0000
Ru  0.0000  0.0000  0.0000
Ru  0.7500  0.2500  0.5000

Calculated values
The formation energy from the elements comes out at 2.1 eV/f.u.

Record 24
Below is a geometry-optimized NbReRu3 structure, with properties calculated at the PBE-GGA level.

a b c (Å): 4.5856 4.5856 4.5856
angles (deg): 90.00 90.00 90.00
Element x y z (fractional)
Nb  0.0000  0.0000  0.0000
Re  0.5000  0.5000  0.5000
Ru  0.0000  0.0000  0.5000
Ru  0.0000  0.5000  0.0000
Ru  0.5000  0.0000  0.0000

Calculated values
As for the relative energy among the computed polymorphs: 0.530 eV per atom. The formation energy from the elements comes out at 10.5 eV/f.u.

Record 25
Below is a geometry-optimized NbReRu structure, with properties calculated at the PBE-GGA level.

a b c (Å): 5.2441 5.2441 5.7241
angles (deg): 123.05 123.05 50.43
Element x y z (fractional)
Nb  0.0195  0.0195  0.2656
Nb  0.9805  0.9805  0.7344
Re  0.3441  0.3441  0.2801
Re  0.6559  0.6559  0.7199
Ru  0.3244  0.3244  0.8163
Ru  0.6756  0.6756  0.1837

Calculated values
The formation energy from the elements comes out at 0.2 eV/f.u.

Record 26
Below is a geometry-optimized Nb4Re3Ru structure, with properties calculated at the PBE-GGA level.

a b c (Å): 3.2073 4.5213 9.0348
angles (deg): 90.00 90.00 90.00
Element x y z (fractional)
Nb  0.0000  0.0000  0.0000
Nb  0.0000  0.0000  0.5000
Nb  0.0000  0.5000  0.2478
Nb  0.0000  0.5000  0.7522
Re  0.5000  0.0000  0.2524
Re  0.5000  0.0000  0.7476
Re  0.5000  0.5000  0.0000
Ru  0.5000  0.5000  0.5000

Calculated values
The formation energy from the elements comes out at -2.1 eV/f.u.

Record 27
Below is a geometry-optimized Nb3Re2Ru structure, with properties calculated at the PBE-GGA level.

a b c (Å): 3.2003 3.2003 9.5801
angles (deg): 90.00 90.00 90.00
Element x y z (fractional)
Nb  0.0000  0.0000  0.0000
Nb  0.0000  0.0000  0.3316
Nb  0.0000  0.0000  0.6684
Re  0.5000  0.5000  0.1688
Re  0.5000  0.5000  0.8312
Ru  0.5000  0.5000  0.5000

Calculated values
The formation energy from the elements comes out at -1.5 eV/f.u.

Number 1: V 17.4 Å³/atom. Number 2: V 16.4 Å³/atom. Number 3: V 22.2 Å³/atom. Number 4: V 17.3 Å³/atom. Number 5: V 15.2 Å³/atom. Number 6: V 18.1 Å³/atom. Number 7: V 15.6 Å³/atom. Number 8: V 19.8 Å³/atom. Number 9: V 17.7 Å³/atom. Number 10: V 20.4 Å³/atom. Number 11: V 16.7 Å³/atom. Number 12: V 14.7 Å³/atom. Number 13: V 18.9 Å³/atom. Number 14: V 32.0 Å³/atom. Number 15: V 16.4 Å³/atom. Number 16: V 15.8 Å³/atom. Number 17: V 15.8 Å³/atom. Number 18: V 15.4 Å³/atom. Number 19: V 17.7 Å³/atom. Number 20: V 19.7 Å³/atom. Number 21: V 20.3 Å³/atom. Number 22: V 17.3 Å³/atom. Number 23: V 17.5 Å³/atom. Number 24: V 19.3 Å³/atom. Number 25: V 16.1 Å³/atom. Number 26: V 16.4 Å³/atom. Number 27: V 16.4 Å³/atom.